DFT (PBE+U) results for a relaxed NiS2O crystal.

a b c (Å): 4.832 4.832 6.216
angles (deg): 67.13 67.13 90.00
Positions (direct):
Ni 0.000 0.000 0.000
Ni 0.750 0.250 0.500
S 0.636 0.125 0.250
S 0.114 0.625 0.250
S 0.375 0.364 0.750
S 0.875 0.886 0.750
O 0.500 0.500 0.000
O 0.250 0.750 0.500

Calculated values
Its crystal system is tetragonal. Its symmetry is No. 122. The volume comes out at 121.2 Å³ per cell. For the final energy, the calculation gives -26.7 eV/cell.